Entry 1:
# ZrTa2Mo (meta-GGA SCAN, PBEsol geometry)
data_ZrTa2Mo
_cell_length_a 3.221
_cell_length_b 3.221
_cell_length_c 6.940
_cell_angle_alpha 90.00
_cell_angle_beta 90.00
_cell_angle_gamma 90.00
_symmetry_space_group_name_H-M 'P 1'
_symmetry_Int_Tables_number 1
_symmetry_space_group_name_Hall 'P 1'
loop_
_atom_site_label
_atom_site_fract_x
_atom_site_fract_y
_atom_site_fract_z
Ta1 0.000 0.000 0.721
Mo1 0.500 0.500 0.500
Ta2 0.000 0.000 0.279
Zr1 0.500 0.500 0.000
# M_tot in μB/f.u.: 0.00
# Energy above the lowest structure with this stoichiometry in eV/atom: 0.010
# Energy of formation from the pure elements in eV/atom: -0.02

---

Entry 2:
# ZrTaMo (meta-GGA SCAN, PBEsol geometry)
data_ZrTaMo
_cell_length_a 3.133
_cell_length_b 3.133
_cell_length_c 6.514
_cell_angle_alpha 90.00
_cell_angle_beta 90.00
_cell_angle_gamma 120.00
_symmetry_space_group_name_H-M 'P 1'
_symmetry_Int_Tables_number 1
_symmetry_space_group_name_Hall 'P 1'
loop_
_atom_site_label
_atom_site_fract_x
_atom_site_fract_y
_atom_site_fract_z
Zr1 0.667 0.333 0.320
Ta1 0.333 0.667 0.694
Mo1 0.000 0.000 0.987
# M_tot in μB/f.u.: 0.00
# Energy above the lowest structure with this stoichiometry in eV/atom: 0.277
# Energy of formation from the pure elements in eV/atom: 0.22

---

Entry 3:
# ZrTa2Mo (meta-GGA SCAN, PBEsol geometry)
data_ZrTa2Mo
_cell_length_a 2.885
_cell_length_b 4.593
_cell_length_c 5.467
_cell_angle_alpha 90.00
_cell_angle_beta 100.88
_cell_angle_gamma 90.00
_symmetry_space_group_name_H-M 'P 1'
_symmetry_Int_Tables_number 1
_symmetry_space_group_name_Hall 'P 1'
loop_
_atom_site_label
_atom_site_fract_x
_atom_site_fract_y
_atom_site_fract_z
Ta1 0.032 0.000 0.993
Mo1 0.245 0.500 0.757
Zr1 0.466 0.000 0.506
Ta2 0.756 0.500 0.244
# M_tot in μB/f.u.: 0.00
# Energy above the lowest structure with this stoichiometry in eV/atom: 0.087
# Energy of formation from the pure elements in eV/atom: 0.05

---

Entry 4:
# ZrTa2Mo (meta-GGA SCAN, PBEsol geometry)
data_ZrTa2Mo
_cell_length_a 4.641
_cell_length_b 4.641
_cell_length_c 4.641
_cell_angle_alpha 60.00
_cell_angle_beta 60.00
_cell_angle_gamma 60.00
_symmetry_space_group_name_H-M 'P 1'
_symmetry_Int_Tables_number 1
_symmetry_space_group_name_Hall 'P 1'
loop_
_atom_site_label
_atom_site_fract_x
_atom_site_fract_y
_atom_site_fract_z
Ta1 0.750 0.750 0.750
Zr1 0.500 0.500 0.500
Ta2 0.250 0.250 0.250
Mo1 0.000 0.000 0.000
# M_tot in μB/f.u.: 0.00
# Energy above the lowest structure with this stoichiometry in eV/atom: 0.098
# Energy of formation from the pure elements in eV/atom: 0.07

---

Entry 5:
# ZrTa2Mo (meta-GGA SCAN, PBEsol geometry)
data_ZrTa2Mo
_cell_length_a 3.247
_cell_length_b 4.714
_cell_length_c 5.489
_cell_angle_alpha 115.43
_cell_angle_beta 107.20
_cell_angle_gamma 90.00
_symmetry_space_group_name_H-M 'P 1'
_symmetry_Int_Tables_number 1
_symmetry_space_group_name_Hall 'P 1'
loop_
_atom_site_label
_atom_site_fract_x
_atom_site_fract_y
_atom_site_fract_z
Mo1 0.000 0.500 0.000
Ta1 0.267 0.267 0.534
Ta2 0.733 0.733 0.466
Zr1 0.500 0.000 0.000
# M_tot in μB/f.u.: 0.00
# Energy above the lowest structure with this stoichiometry in eV/atom: 0.000
# Energy of formation from the pure elements in eV/atom: -0.03

---

Entry 6:
# ZrTa2Mo (meta-GGA SCAN, PBEsol geometry)
data_ZrTa2Mo
_cell_length_a 4.646
_cell_length_b 4.646
_cell_length_c 4.646
_cell_angle_alpha 60.00
_cell_angle_beta 60.00
_cell_angle_gamma 60.00
_symmetry_space_group_name_H-M 'P 1'
_symmetry_Int_Tables_number 1
_symmetry_space_group_name_Hall 'P 1'
loop_
_atom_site_label
_atom_site_fract_x
_atom_site_fract_y
_atom_site_fract_z
Ta1 0.250 0.250 0.250
Zr1 0.750 0.750 0.750
Mo1 0.500 0.500 0.500
Ta2 0.000 0.000 0.000
# M_tot in μB/f.u.: 0.00
# Energy above the lowest structure with this stoichiometry in eV/atom: 0.089
# Energy of formation from the pure elements in eV/atom: 0.06

---

Entry 7:
# ZrTaMo (meta-GGA SCAN, PBEsol geometry)
data_ZrTaMo
_cell_length_a 3.266
_cell_length_b 3.266
_cell_length_c 5.581
_cell_angle_alpha 107.01
_cell_angle_beta 107.01
_cell_angle_gamma 90.00
_symmetry_space_group_name_H-M 'P 1'
_symmetry_Int_Tables_number 1
_symmetry_space_group_name_Hall 'P 1'
loop_
_atom_site_label
_atom_site_fract_x
_atom_site_fract_y
_atom_site_fract_z
Mo1 0.011 0.011 0.022
Zr1 0.340 0.340 0.680
Ta1 0.649 0.649 0.298
# M_tot in μB/f.u.: 0.00
# Energy above the lowest structure with this stoichiometry in eV/atom: 0.000
# Energy of formation from the pure elements in eV/atom: -0.05

---

Entry 8:
# Tc3Mo (meta-GGA SCAN, PBEsol geometry)
data_Tc3Mo
_cell_length_a 4.765
_cell_length_b 5.456
_cell_length_c 8.816
_cell_angle_alpha 90.00
_cell_angle_beta 90.00
_cell_angle_gamma 90.00
_symmetry_space_group_name_H-M 'P 1'
_symmetry_Int_Tables_number 1
_symmetry_space_group_name_Hall 'P 1'
loop_
_atom_site_label
_atom_site_fract_x
_atom_site_fract_y
_atom_site_fract_z
Mo1 0.922 0.124 0.250
Tc1 0.740 0.876 0.009
Tc2 0.760 0.376 0.509
Mo2 0.422 0.376 0.250
Mo3 0.578 0.624 0.750
Tc3 0.583 0.123 0.750
Tc4 0.240 0.624 0.491
Tc5 0.240 0.624 0.009
Tc6 0.760 0.376 0.991
Tc7 0.417 0.877 0.250
Tc8 0.917 0.623 0.250
Mo4 0.078 0.876 0.750
Tc9 0.260 0.124 0.509
Tc10 0.260 0.124 0.991
Tc11 0.740 0.876 0.491
Tc12 0.083 0.377 0.750
# M_tot in μB/f.u.: 0.00
# Energy above the lowest structure with this stoichiometry in eV/atom: 0.000
# Energy of formation from the pure elements in eV/atom: 0.09

---

Entry 9:
# TcMo2 (meta-GGA SCAN, PBEsol geometry)
data_TcMo2
_cell_length_a 2.709
_cell_length_b 4.363
_cell_length_c 4.363
_cell_angle_alpha 120.00
_cell_angle_beta 90.00
_cell_angle_gamma 90.00
_symmetry_space_group_name_H-M 'P 1'
_symmetry_Int_Tables_number 1
_symmetry_space_group_name_Hall 'P 1'
loop_
_atom_site_label
_atom_site_fract_x
_atom_site_fract_y
_atom_site_fract_z
Tc1 0.000 0.000 0.000
Mo1 0.339 0.333 0.667
Mo2 0.661 0.667 0.333
# M_tot in μB/f.u.: 0.00
# Energy above the lowest structure with this stoichiometry in eV/atom: 0.016
# Energy of formation from the pure elements in eV/atom: 0.05

---

Entry 10:
# TcMo2 (meta-GGA SCAN, PBEsol geometry)
data_TcMo2
_cell_length_a 3.105
_cell_length_b 3.105
_cell_length_c 5.132
_cell_angle_alpha 107.61
_cell_angle_beta 107.61
_cell_angle_gamma 90.00
_symmetry_space_group_name_H-M 'P 1'
_symmetry_Int_Tables_number 1
_symmetry_space_group_name_Hall 'P 1'
loop_
_atom_site_label
_atom_site_fract_x
_atom_site_fract_y
_atom_site_fract_z
Mo1 0.668 0.668 0.336
Mo2 0.332 0.332 0.664
Tc1 0.000 0.000 0.000
# M_tot in μB/f.u.: 0.00
# Energy above the lowest structure with this stoichiometry in eV/atom: 0.008
# Energy of formation from the pure elements in eV/atom: 0.04

---

Entry 11:
# Tc8Mo (meta-GGA SCAN, PBEsol geometry)
data_Tc8Mo
_cell_length_a 3.835
_cell_length_b 6.080
_cell_length_c 6.080
_cell_angle_alpha 84.29
_cell_angle_beta 71.61
_cell_angle_gamma 71.61
_symmetry_space_group_name_H-M 'P 1'
_symmetry_Int_Tables_number 1
_symmetry_space_group_name_Hall 'P 1'
loop_
_atom_site_label
_atom_site_fract_x
_atom_site_fract_y
_atom_site_fract_z
Tc1 0.671 0.658 0.000
Tc2 0.000 0.662 0.338
Tc3 0.662 0.338 0.338
Tc4 0.329 0.000 0.342
Tc5 0.671 0.000 0.658
Mo1 0.000 0.000 0.000
Tc6 0.329 0.342 0.000
Tc7 0.000 0.338 0.662
Tc8 0.338 0.662 0.662
# M_tot in μB/f.u.: 0.00
# Energy of formation from the pure elements in eV/atom: 0.08

---

Entry 12:
# Tc3Mo (meta-GGA SCAN, PBEsol geometry)
data_Tc3Mo
_cell_length_a 2.740
_cell_length_b 4.723
_cell_length_c 5.204
_cell_angle_alpha 116.99
_cell_angle_beta 105.26
_cell_angle_gamma 90.00
_symmetry_space_group_name_H-M 'P 1'
_symmetry_Int_Tables_number 1
_symmetry_space_group_name_Hall 'P 1'
loop_
_atom_site_label
_atom_site_fract_x
_atom_site_fract_y
_atom_site_fract_z
Mo1 0.000 0.004 0.000
Tc1 0.761 0.427 0.522
Tc2 0.500 0.498 0.000
Tc3 0.239 0.905 0.478
# M_tot in μB/f.u.: 0.00
# Energy above the lowest structure with this stoichiometry in eV/atom: 0.030
# Energy of formation from the pure elements in eV/atom: 0.12

---

What did the fifth record say?
# ZrTa2Mo (meta-GGA SCAN, PBEsol geometry)
data_ZrTa2Mo
_cell_length_a 3.247
_cell_length_b 4.714
_cell_length_c 5.489
_cell_angle_alpha 115.43
_cell_angle_beta 107.20
_cell_angle_gamma 90.00
_symmetry_space_group_name_H-M 'P 1'
_symmetry_Int_Tables_number 1
_symmetry_space_group_name_Hall 'P 1'
loop_
_atom_site_label
_atom_site_fract_x
_atom_site_fract_y
_atom_site_fract_z
Mo1 0.000 0.500 0.000
Ta1 0.267 0.267 0.534
Ta2 0.733 0.733 0.466
Zr1 0.500 0.000 0.000
# M_tot in μB/f.u.: 0.00
# Energy above the lowest structure with this stoichiometry in eV/atom: 0.000
# Energy of formation from the pure elements in eV/atom: -0.03

---

> M_tot of number 10 (TcMo2)?

0.00 μB/f.u.

---

> What is the formula in the fourth record?

ZrTa2Mo